[1]
Density functional theory data (GGA-PBE) for a geometry-optimized CePm2Sm structure.

## Properties
The calculation puts the energy above the most stable polymorph in this dataset at 0.139 eV per atom.

a b c (Å): 5.765 5.765 5.765
angles (deg): 60.00 60.00 60.00
Fractional coordinates of all 4 atoms:
Ce 0.000 0.000 0.000
Pm 0.250 0.250 0.250
Pm 0.750 0.750 0.750
Sm 0.500 0.500 0.500

[2]
Density functional theory data (GGA-PBE) for a geometry-optimized CePm2Sm8 structure.

## Properties
The calculation puts the energy above the most stable polymorph in this dataset at 0.155 eV per atom.

a b c (Å): 9.504 9.504 6.444
angles (deg): 106.26 106.26 41.99
Fractional coordinates of all 11 atoms:
Ce 0.000 0.000 0.000
Pm 0.279 0.279 0.873
Pm 0.721 0.721 0.127
Sm 0.137 0.655 0.312
Sm 0.205 0.205 0.310
Sm 0.345 0.863 0.688
Sm 0.442 0.442 0.762
Sm 0.558 0.558 0.238
Sm 0.655 0.137 0.312
Sm 0.795 0.795 0.690
Sm 0.863 0.345 0.688

[3]
Density functional theory data (GGA-PBE) for a geometry-optimized CePm7Sm12 structure.

a b c (Å): 9.437 9.437 9.437
angles (deg): 107.81 107.81 107.81
Fractional coordinates of all 20 atoms:
Ce 0.000 0.000 0.000
Pm 0.001 0.894 0.316
Pm 0.106 0.684 0.999
Pm 0.316 0.001 0.894
Pm 0.500 0.500 0.500
Pm 0.684 0.999 0.106
Pm 0.894 0.316 0.001
Pm 0.999 0.106 0.684
Sm 0.059 0.298 0.405
Sm 0.216 0.676 0.389
Sm 0.298 0.405 0.059
Sm 0.324 0.611 0.784
Sm 0.389 0.216 0.676
Sm 0.405 0.059 0.298
Sm 0.595 0.941 0.702
Sm 0.611 0.784 0.324
Sm 0.676 0.389 0.216
Sm 0.702 0.595 0.941
Sm 0.784 0.324 0.611
Sm 0.941 0.702 0.595

[4]
Density functional theory data (GGA-PBE) for a geometry-optimized CePm6Sm structure.

## Properties
The calculation puts the energy above the most stable polymorph in this dataset at 0.000 eV per atom.

a b c (Å): 5.136 5.136 10.266
angles (deg): 90.00 90.00 90.00
Fractional coordinates of all 8 atoms:
Ce 0.000 0.000 0.000
Pm 0.000 0.500 0.247
Pm 0.000 0.500 0.753
Pm 0.500 0.000 0.247
Pm 0.500 0.000 0.753
Pm 0.500 0.500 0.000
Pm 0.500 0.500 0.500
Sm 0.000 0.000 0.500

Listing spin magnetization for the structures above in their given order: 0.743, 0.093, 0.024, 0.109 μB/atom.
Listing ΔE_f for the structures above in their given order: 202.9, 192.4, 161.9, 46.3 meV per atom.